No. 1
The following is a PBE calculation of a geometry-optimized SrGa2Bi2 structure, from the Alexandria database.

Unit cell a=8.616 b=8.616 c=4.120 alpha=90.00 beta=90.00 gamma=90.00
Atoms (fractional coordinates):
Sr 0.500 0.500 0.000
Bi 0.628 0.128 0.000
Ga 0.150 0.650 0.500
Bi 0.128 0.372 0.000
Sr 0.000 0.000 0.000
Bi 0.872 0.628 0.000
Bi 0.372 0.872 0.000
Ga 0.650 0.850 0.500
Ga 0.350 0.150 0.500
Ga 0.850 0.350 0.500

ΔE_f = -0.15 eV per atom
Distance to the lowest polymorph of the same formula = 11.1 kJ/mol of atoms
Final energy = -3.247 eV per atom
Magnetization = 0.00 μB per cell

No. 2
The following is a PBE calculation of a geometry-optimized Mg6In3Ni structure, from the Alexandria database.

Unit cell a=4.576 b=8.670 c=11.203 alpha=90.00 beta=90.00 gamma=90.00
Atoms (fractional coordinates):
Ni 0.500 0.500 0.500
Mg 0.500 0.218 0.614
In 0.000 0.649 0.172
Mg 0.000 0.282 0.114
Mg 0.500 0.528 0.729
In 0.500 0.149 0.328
Ni 0.000 0.000 0.000
In 0.000 0.351 0.828
Mg 0.500 0.782 0.386
Mg 0.000 0.648 0.558
Mg 0.500 0.148 0.942
Mg 0.000 0.352 0.442
Mg 0.000 0.972 0.229
Mg 0.000 0.028 0.771
Mg 0.500 0.852 0.058
Mg 0.000 0.718 0.886
In 0.500 0.851 0.672
In 0.500 0.500 0.000
In 0.000 0.000 0.500
Mg 0.500 0.472 0.271

ΔE_f = -0.05 eV per atom
Final energy = -2.405 eV per atom
Magnetization = 0.00 μB per cell